Entry from Alexandria via LeMat-Bulk: MgCoSi2 after structural relaxation (PBE).

abc: 4.2594 4.2594 4.2594
angles: 60.00 60.00 60.00
Closest atoms and distances in Å follow each position.
Atoms (fractional coordinates):
1 Mg 0.0000 0.0000 0.0000  4 Si 2.61, 4 Co 2.61
2 Co 0.2500 0.2500 0.2500  4 Mg 2.61, 4 Si 2.61
3 Si 0.5000 0.5000 0.5000  4 Si 2.61, 4 Co 2.61
4 Si 0.7500 0.7500 0.7500  4 Mg 2.61, 4 Si 2.61

## Properties
* E: -4.662 eV per atom
* ΔE_f (raw): 224 meV/atom
* V: 13.66 Å³ per atom
* space group: F-43m (216)